AcTl3Pb: relaxed, PBE-GGA.

Cell and atoms, written as CIF:
```
data_AcTl3Pb
_cell_length_a 6.491
_cell_length_b 17.141
_cell_length_c 6.110
_cell_angle_alpha 90.00
_cell_angle_beta 90.00
_cell_angle_gamma 90.00
_symmetry_space_group_name_H-M 'C m c m'
_symmetry_Int_Tables_number 63
_symmetry_space_group_name_Hall '-C 2c 2'
loop_
_atom_site_label
_atom_site_fract_x
_atom_site_fract_y
_atom_site_fract_z
Ac1 0.000 0.186 0.250
Tl1 0.000 0.000 0.000
Tl2 0.241 0.363 0.250
Pb1 0.000 0.438 0.750
```

Calculated values
relative energy among the computed polymorphs	153	meV/atom
calculated density	10.233	g/cm³
DFT formation energy	-0.0767	eV/atom